[1]
The following is a DFT calculation (PBE) of a relaxed KH2Br crystal.

Summary:
- Space-group type: Fm-3m, No. 225
- DOS at the Fermi energy: 0.1 states/eV/cell
- Distance to the lowest polymorph of the same formula: 1112 meV/atom

Geometry as POSCAR:
```
KH2Br
1.0
0.000 3.439 3.439
3.439 0.000 3.439
3.439 3.439 0.000
H K Br
2 1 1
Cartesian
1.720 1.720 1.720
5.159 5.159 5.159
0.000 0.000 0.000
3.439 3.439 3.439
```

[2]
The following is a DFT calculation (PBE) of a relaxed YHoCd crystal.

Summary:
- Space-group type: Fmmm, No. 69
- Energy of formation from the pure elements: -0.33 eV/f.u.
- DOS at the Fermi energy: 6.7 states/eV/cell
- Distance to the lowest polymorph of the same formula: 93 meV/atom

Geometry as POSCAR:
```
YHoCd
1.0
-3.356 -5.051 -0.812
6.026 -0.790 -0.709
-0.886 1.809 5.822
Y Ho Cd
2 2 2
Cartesian
-0.259 -3.645 -0.778
2.929 -2.197 -0.743
1.632 -3.657 2.588
0.152 -0.376 1.713
-1.453 -3.082 2.125
3.238 -0.951 2.177
```

[3]
The following is a DFT calculation (PBE) of a relaxed InCuPb2 crystal.

Summary:
- Space-group type: R3m, No. 160
- Energy of formation from the pure elements: 0.69 eV/f.u.
- DOS at the Fermi energy: 1.6 states/eV/cell

Geometry as POSCAR:
```
InCuPb2
1.0
-0.508 -4.585 0.532
3.743 -2.734 0.278
1.135 -1.768 6.108
In Cu Pb
1 1 2
Cartesian
2.185 -4.544 3.460
2.158 -4.869 0.629
1.124 -1.899 4.972
1.089 -2.319 1.316
```

[4]
The following is a DFT calculation (PBE) of a relaxed Ni2H2Os crystal.

Summary:
- Space-group type: P4/mbm, No. 127
- DOS at the Fermi energy: 7.5 states/eV/cell
- Distance to the lowest polymorph of the same formula: 233 meV/atom

Geometry as POSCAR:
```
Ni2H2Os
1.0
5.872 0.000 0.000
0.000 5.872 0.000
0.000 0.000 2.615
Ni Os H
4 2 4
Cartesian
0.907 3.843 1.307
3.843 4.965 1.307
4.965 2.029 1.307
2.029 0.907 1.307
0.000 0.000 0.000
2.936 2.936 0.000
1.640 4.576 0.000
4.576 4.232 0.000
4.232 1.296 0.000
1.296 1.640 0.000
```

[5]
The following is a DFT calculation (PBE) of a relaxed K3In2Bi4Pb2 crystal.

Summary:
- Space-group type: P-3m1, No. 164
- Energy of formation from the pure elements: -2.08 eV/f.u.
- DOS at the Fermi energy: 3.4 states/eV/cell

Geometry as POSCAR:
```
K3In2Bi4Pb2
1.0
5.214 0.000 0.000
-2.607 4.516 0.000
0.000 0.000 17.852
K In Bi Pb
3 2 4 2
Cartesian
0.000 0.000 12.959
0.000 0.000 0.000
0.000 0.000 4.892
2.607 1.505 14.659
0.000 3.010 3.193
2.607 1.505 2.299
0.000 3.010 15.553
2.607 1.505 11.231
0.000 3.010 6.620
2.607 1.505 7.830
0.000 3.010 10.021
```

[6]
The following is a DFT calculation (PBE) of a relaxed TmAlPd crystal.

Summary:
- Space-group type: P-6m2, No. 187
- Energy of formation from the pure elements: -2.36 eV/f.u.
- DOS at the Fermi energy: 1.6 states/eV/cell

Geometry as POSCAR:
```
TmAlPd
1.0
3.559 0.000 0.000
0.000 4.427 0.000
0.000 -2.214 3.834
Tm Al Pd
1 1 1
Cartesian
2.372 2.214 1.278
0.593 0.000 0.000
0.593 0.000 2.556
```

[7]
The following is a DFT calculation (PBE) of a relaxed Pm3Mg2Sn4 crystal.

Summary:
- Space-group type: C2/m, No. 12
- Energy of formation from the pure elements: -5.16 eV/f.u.
- DOS at the Fermi energy: 4.9 states/eV/cell
- Distance to the lowest polymorph of the same formula: 0 meV/atom

Geometry as POSCAR:
```
Pm3Mg2Sn4
1.0
-3.928 2.387 0.435
-0.583 -4.560 -4.740
-1.275 -3.655 8.540
Pm Mg Sn
3 2 4
Cartesian
-3.485 -2.179 4.986
0.000 0.000 0.000
-2.301 -3.649 -0.751
-3.374 -1.373 1.572
-2.412 -4.455 2.663
-3.092 -0.425 -1.091
-2.694 -5.404 5.326
-4.915 -3.905 1.551
-0.872 -1.924 2.684
```

[8]
The following is a DFT calculation (PBE) of a relaxed Np2CrTcN5 crystal.

Summary:
- Electronic total energy: -10.4865 eV/atom
- Space-group type: Cmc2_1, No. 36
- DOS at the Fermi energy: 18.3 states/eV/cell

Geometry as POSCAR:
```
Np2CrTcN5
1.0
-1.508 -2.589 1.318
3.235 -2.459 -5.196
7.695 -1.646 5.570
Np Cr Tc N
4 2 2 10
Cartesian
7.225 -5.281 1.955
5.802 -1.957 2.793
3.102 -1.607 0.393
2.579 -4.515 -1.854
6.813 -3.169 5.635
5.807 -4.210 -1.627
4.655 -4.362 0.821
1.101 -1.548 -1.782
1.873 -2.799 -3.357
6.810 -4.082 3.837
8.429 -4.966 -0.114
6.495 -3.237 1.071
5.768 -5.608 -0.354
3.755 -3.083 2.303
4.398 -2.995 -0.853
1.438 -1.824 2.128
1.530 -3.159 -0.391
0.663 -0.446 -0.119
```

[9]
The following is a DFT calculation (PBE) of a relaxed RbHoPuI6 crystal.

Summary:
- Electronic total energy: -4.5367 eV/atom
- Space-group type: P-31c, No. 163
- DOS at the Fermi energy: 40.3 states/eV/cell

Geometry as POSCAR:
```
RbHoPuI6
1.0
8.012 0.000 0.000
-4.006 6.939 0.000
0.000 0.000 16.461
Rb Ho Pu I
2 2 2 12
Cartesian
0.000 0.000 0.000
0.000 0.000 8.230
4.006 2.313 4.115
0.000 4.626 12.345
0.000 4.626 4.115
4.006 2.313 12.345
2.634 4.347 2.314
6.454 2.484 2.314
-1.075 6.832 10.544
-2.448 4.455 14.147
1.558 2.484 5.917
5.379 4.347 5.917
1.075 6.832 14.147
5.082 0.107 5.917
-1.372 2.592 10.544
2.931 0.107 2.314
2.448 4.455 10.544
1.372 2.592 14.147
```

[10]
The following is a DFT calculation (PBE) of a relaxed Tb2PrDyEr5 crystal.

Summary:
- Space-group type: I4/mcm, No. 140
- Energy of formation from the pure elements: 2.54 eV/f.u.
- DOS at the Fermi energy: 21.4 states/eV/cell

Geometry as POSCAR:
```
Tb2PrDyEr5
1.0
8.866 0.000 0.000
0.000 8.866 0.000
-4.433 -4.433 7.366
Tb Pr Dy Er
4 2 2 10
Cartesian
1.005 3.428 0.000
5.437 1.005 0.000
3.428 7.861 0.000
7.861 5.437 0.000
0.000 0.000 3.683
4.433 4.433 3.683
0.000 4.433 3.683
4.433 0.000 3.683
7.040 2.607 1.954
2.607 -1.826 5.412
-2.607 1.826 5.412
-1.826 -2.607 5.412
1.826 2.607 5.412
6.259 7.040 1.954
2.607 1.826 1.954
1.826 6.259 1.954
4.433 4.433 0.000
0.000 0.000 0.000
```

[11]
The following is a DFT calculation (PBE) of a relaxed BaH3Pd crystal.

Summary:
- Electronic total energy: -3.6281 eV/atom
- Space-group type: P6_3/mmc, No. 194
- DOS at the Fermi energy: 3.5 states/eV/cell

Geometry as POSCAR:
```
BaH3Pd
1.0
3.631 -2.096 0.000
0.000 4.193 0.000
0.000 0.000 10.580
H Ba Pd
6 2 2
Cartesian
0.000 0.000 2.645
0.000 0.000 7.935
1.210 2.096 9.619
1.210 2.096 6.252
2.421 0.000 4.329
2.421 0.000 0.961
0.000 0.000 0.000
0.000 0.000 5.290
1.210 2.096 7.935
2.421 0.000 2.645
```

[12]
The following is a DFT calculation (PBE) of a relaxed GaSiAg2Se4 crystal.

Summary:
- Electronic total energy: -3.7720 eV/atom
- Space-group type: P1, No. 1
- DOS at the Fermi energy: 3.9 states/eV/cell

Geometry as POSCAR:
```
GaSiAg2Se4
1.0
-5.636 -2.056 -0.198
1.509 -3.711 -4.468
3.433 -1.275 6.238
Ga Si Ag Se
1 1 2 4
Cartesian
-1.488 -5.071 3.695
-1.417 -4.844 -0.490
2.086 -5.899 1.557
0.645 -1.962 1.843
-0.197 -4.517 1.475
-3.346 -3.525 -0.459
-0.128 -4.229 -2.338
2.131 -1.338 4.029
```